AcGaRh: optimized geometry, PBE.

Cell and atoms, written as CIF:
```
data_AcGaRh
_cell_length_a 4.4070
_cell_length_b 4.4070
_cell_length_c 4.3335
_cell_angle_alpha 90.00
_cell_angle_beta 90.00
_cell_angle_gamma 120.00
_symmetry_space_group_name_H-M 'P -6 m 2'
_symmetry_Int_Tables_number 187
_symmetry_space_group_name_Hall 'P -6 2'
loop_
_atom_site_label
_atom_site_fract_x
_atom_site_fract_y
_atom_site_fract_z
Ac1 0.0000 0.0000 0.0000
Ga1 0.3333 0.6667 0.5000
Rh1 0.6667 0.3333 0.5000
```

Summary:
- E_tot: -5.55 eV per atom
- Distance to the lowest polymorph of the same formula: 0.0186 eV per atom
- Crystal system: hexagonal
- Energy relative to the elements: -0.72 eV/atom